(1)
Computed, not measured: Mg2Mo at its PBEsol-relaxed geometry at the SCAN level of DFT.

The value obtained for the density of states at the Fermi level is 0.77 states/eV per atom. Its symmetry is No. 123. The formation energy comes out at 651 meV/atom. The value obtained for the magnetization is 0.0 μB per formula unit.

Unit cell a=2.622 b=5.098 c=5.098 alpha=90.00 beta=90.00 gamma=90.00
Sites, in units of the cell vectors:
Mg: 0.500 0.000 0.500
Mo: 0.000 0.000 0.000
Mg: 0.500 0.500 0.000

---

(2)
Computed, not measured: Ba2TeH2 at its PBEsol-relaxed geometry at the SCAN level of DFT.

The value obtained for the density of states at the Fermi level is 0.00 states/eV per atom. Its symmetry is No. 139. The value obtained for the total DFT energy (no corrections) is -25.8224 eV per atom. The value obtained for the magnetization is 0.0 μB per formula unit.

Unit cell a=4.342 b=4.342 c=7.497 alpha=106.83 beta=106.83 gamma=90.00
Sites, in units of the cell vectors:
Ba: 0.641 0.641 0.282
H: 0.750 0.250 0.500
Ba: 0.359 0.359 0.718
H: 0.250 0.750 0.500
Te: 0.000 0.000 0.000

---

(3)
Computed, not measured: MnIr2W at its PBEsol-relaxed geometry at the SCAN level of DFT.

The value obtained for the density of states at the Fermi level is 0.92 states/eV per atom. Its symmetry is No. 119. The formation energy comes out at -298 meV/atom. Its offset from the most stable computed form is 102 meV/atom. The value obtained for the magnetization is 2.2 μB per formula unit.

Unit cell a=3.787 b=3.787 c=4.664 alpha=113.95 beta=113.95 gamma=90.00
Sites, in units of the cell vectors:
Mn: 0.000 0.000 0.000
Ir: 0.750 0.250 0.500
W: 0.250 0.750 0.500
Ir: 0.500 0.500 0.000

---

(4)
Computed, not measured: CrPdF2 at its PBEsol-relaxed geometry at the SCAN level of DFT.

The value obtained for the density of states at the Fermi level is 0.43 states/eV per atom. Its symmetry is No. 122. For the formation energy without anion corrections, the calculation gives -438 kJ/mol of formula units. The value obtained for the magnetization is 4.0 μB per formula unit.

Unit cell a=3.848 b=3.848 c=7.427 alpha=105.01 beta=105.01 gamma=90.00
Sites, in units of the cell vectors:
Pd: 0.250 0.750 0.500
F: 0.433 0.875 0.250
Pd: 0.000 0.000 0.000
F: 0.817 0.375 0.250
F: 0.125 0.183 0.750
Cr: 0.750 0.250 0.500
Cr: 0.500 0.500 0.000
F: 0.625 0.567 0.750

---

(5)
Computed, not measured: K2YSe at its PBEsol-relaxed geometry at the SCAN level of DFT.

The value obtained for the density of states at the Fermi level is 0.43 states/eV per atom. Its symmetry is No. 8. For the formation energy without anion corrections, the calculation gives -307 kJ/mol of formula units. The value obtained for the magnetization is 0.2 μB per formula unit.

Unit cell a=4.076 b=4.076 c=11.581 alpha=80.64 beta=80.64 gamma=59.98
Sites, in units of the cell vectors:
Se: 0.488 0.488 0.528
Y: 0.780 0.780 0.663
K: 0.214 0.214 0.336
K: 0.019 0.019 0.972

---

(6)
Computed, not measured: Li3LaIn at its PBEsol-relaxed geometry at the SCAN level of DFT.

The value obtained for the density of states at the Fermi level is 0.69 states/eV per atom. Its symmetry is No. 221. The formation energy comes out at 942 meV/atom. The value obtained for the magnetization is 3.1 μB per formula unit.

Unit cell a=5.439 b=5.439 c=5.439 alpha=90.00 beta=90.00 gamma=90.00
Sites, in units of the cell vectors:
La: 0.000 0.000 0.000
Li: 0.000 0.500 0.000
Li: 0.500 0.000 0.000
In: 0.500 0.500 0.500
Li: 0.000 0.000 0.500

---

(7)
Computed, not measured: HgP2Os at its PBEsol-relaxed geometry at the SCAN level of DFT.

The value obtained for the density of states at the Fermi level is 0.68 states/eV per atom. Its symmetry is No. 119. The formation energy comes out at 1112 meV/atom. The value obtained for the magnetization is 0.0 μB per formula unit.

Unit cell a=3.820 b=3.820 c=5.009 alpha=112.42 beta=112.42 gamma=90.00
Sites, in units of the cell vectors:
P: 0.750 0.250 0.500
Os: 0.250 0.750 0.500
Hg: 0.500 0.500 0.000
P: 0.000 0.000 0.000

---

(8)
Computed, not measured: MoIrPt2 at its PBEsol-relaxed geometry at the SCAN level of DFT.

The value obtained for the density of states at the Fermi level is 0.79 states/eV per atom. Its symmetry is No. 160. The formation energy comes out at -168 meV/atom. Its offset from the most stable computed form is 113 meV/atom. The value obtained for the magnetization is 0.0 μB per formula unit.

Unit cell a=2.736 b=2.736 c=9.238 alpha=81.48 beta=81.48 gamma=60.00
Sites, in units of the cell vectors:
Mo: 0.249 0.249 0.254
Ir: 0.503 0.503 0.490
Pt: 0.751 0.751 0.748
Pt: 0.997 0.997 0.008

---

Q: density of states at the Fermi level of number 8 (MoIrPt2)?
A: 0.79 states/eV per atom